Record 1
# LaScBr2 (PBE, optimized geometry)
# symmetry = Cmmm (65)
# E_tot = -4.560 eV/atom
# uncorrected formation energy = -0.91 eV per atom
# V = 109.29 Å³/f.u.
data_LaScBr2
_space_group_name_H-M_alt 'P 1'
_space_group_IT_number 1
_space_group_name_Hall 'P 1'
_cell_length_a 3.670
_cell_length_b 3.670
_cell_length_c 9.552
_cell_angle_alpha 90.00
_cell_angle_beta 90.00
_cell_angle_gamma 121.84
loop_
_atom_site_label
_atom_site_type_symbol
_atom_site_fract_x
_atom_site_fract_y
_atom_site_fract_z
Br1 Br 0.000 0.000 0.980
Br2 Br 0.000 0.000 0.520
La1 La 0.500 0.500 0.250
Sc1 Sc 0.500 0.500 0.750

***

Record 2
# LiHoLuPt (PBE, optimized geometry)
# formation enthalpy at 0 K = -716 meV per atom
# symmetry = F-43m (216)
# E_tot = -4.979 eV/atom
# V = 83.77 Å³/f.u.
data_LiHoLuPt
_space_group_name_H-M_alt 'P 1'
_space_group_IT_number 1
_space_group_name_Hall 'P 1'
_cell_length_a 4.911
_cell_length_b 4.911
_cell_length_c 4.911
_cell_angle_alpha 60.00
_cell_angle_beta 60.00
_cell_angle_gamma 60.00
loop_
_atom_site_label
_atom_site_type_symbol
_atom_site_fract_x
_atom_site_fract_y
_atom_site_fract_z
Lu1 Lu 0.750 0.750 0.750
Ho1 Ho 0.250 0.250 0.250
Pt1 Pt 0.000 0.000 0.000
Li1 Li 0.500 0.500 0.500

***

Record 3
# Re2GeMo (PBE, optimized geometry)
# formation enthalpy at 0 K = 373 meV per atom
# symmetry = R3m (160)
# E_tot = -9.713 eV/atom
# V = 67.52 Å³/f.u.
data_Re2GeMo
_space_group_name_H-M_alt 'P 1'
_space_group_IT_number 1
_space_group_name_Hall 'P 1'
_cell_length_a 4.244
_cell_length_b 4.244
_cell_length_c 4.974
_cell_angle_alpha 64.75
_cell_angle_beta 64.75
_cell_angle_gamma 60.00
loop_
_atom_site_label
_atom_site_type_symbol
_atom_site_fract_x
_atom_site_fract_y
_atom_site_fract_z
Re1 Re 0.075 0.075 0.776
Re2 Re 0.261 0.261 0.216
Ge1 Ge 0.681 0.681 0.956
Mo1 Mo 0.482 0.482 0.553

***

Record 4
# Sr5TiH2N4 (PBE, optimized geometry)
# symmetry = Amm2 (38)
# E_tot = -5.476 eV/atom
# V = 226.01 Å³/f.u.
data_Sr5TiH2N4
_space_group_name_H-M_alt 'P 1'
_space_group_IT_number 1
_space_group_name_Hall 'P 1'
_cell_length_a 6.093
_cell_length_b 5.839
_cell_length_c 7.446
_cell_angle_alpha 90.00
_cell_angle_beta 90.00
_cell_angle_gamma 121.45
loop_
_atom_site_label
_atom_site_type_symbol
_atom_site_fract_x
_atom_site_fract_y
_atom_site_fract_z
Sr1 Sr 0.079 0.365 0.217
Sr2 Sr 0.414 0.000 0.500
Sr3 Sr 0.079 0.365 0.783
Sr4 Sr 0.715 0.635 0.783
Sr5 Sr 0.715 0.635 0.217
Ti1 Ti 0.417 0.000 0.000
H1 H 0.953 0.584 0.500
H2 H 0.369 0.416 0.500
N1 N 0.609 0.000 0.216
N2 N 0.609 0.000 0.784
N3 N 0.381 0.315 0.000
N4 N 0.066 0.685 0.000

***

Which formula does entry 4 have? Sr5TiH2N4